# CrIrCl2 | Alexandria | SCAN | single point on PBEsol structure
data_CrIrCl2
_symmetry_space_group_name_H-M 'R -3 m'
_symmetry_Int_Tables_number 166
_symmetry_space_group_name_Hall '-R 3 2"'
_cell_length_a 2.8190
_cell_length_b 2.8190
_cell_length_c 27.3143
_cell_angle_alpha 90.00
_cell_angle_beta 90.00
_cell_angle_gamma 120.00
loop_
_atom_site_label
_atom_site_fract_x
_atom_site_fract_y
_atom_site_fract_z
Cr1 0.0000 0.0000 0.0000
Ir1 0.0000 0.0000 0.5000
Cl1 0.0000 0.0000 0.2747
# energy relative to the lowest polymorph listed for this composition: 523 meV per atom
# uncorrected formation energy: 1.02 eV per formula unit
# total energy: -26.106 eV/atom
# Fermi-level density of states: 4.1 states/eV per cell
# magnetization: 10.27 μB/cell

***

# Fe3BAu | Alexandria | SCAN | single point on PBEsol structure
data_Fe3BAu
_symmetry_space_group_name_H-M 'P m -3 m'
_symmetry_Int_Tables_number 221
_symmetry_space_group_name_Hall '-P 4 2 3'
_cell_length_a 4.640
_cell_length_b 4.640
_cell_length_c 4.640
_cell_angle_alpha 90.00
_cell_angle_beta 90.00
_cell_angle_gamma 90.00
loop_
_atom_site_label
_atom_site_fract_x
_atom_site_fract_y
_atom_site_fract_z
Fe1 0.000 0.000 0.500
B1 0.500 0.500 0.500
Au1 0.000 0.000 0.000
# total energy: -24.251 eV/atom
# Fermi-level density of states: 5.8 states/eV per cell
# magnetization: 9.98 μB/cell
# ΔE_f: 1944 meV/atom

***

# Ca2CrW | Alexandria | SCAN | single point on PBEsol structure
data_Ca2CrW
_symmetry_space_group_name_H-M 'C 1 m 1'
_symmetry_Int_Tables_number 8
_cell_length_a 7.978
_cell_length_b 3.124
_cell_length_c 7.870
_cell_angle_alpha 90.00
_cell_angle_beta 94.25
_cell_angle_gamma 90.00
loop_
_symmetry_equiv_pos_as_xyz
'x,y,z'
'x,-y,z'
'x+1/2,y+1/2,z'
'x+1/2,-y+1/2,z'
loop_
_atom_site_label
_atom_site_fract_x
_atom_site_fract_y
_atom_site_fract_z
Ca1 0.000 0.000 0.000
Ca2 0.220 0.000 0.602
Cr1 0.475 0.000 0.349
W1 0.252 0.500 0.256
# energy relative to the lowest polymorph listed for this composition: 0 meV per atom
# total energy: -26.160 eV/atom
# Fermi-level density of states: 4.9 states/eV per cell
# magnetization: 3.00 μB/cell
# ΔE_f: 690 meV/atom